# 1
Entry from the Alexandria database: a relaxed structure of ZrCoSb3 (GGA-PBEsol).

a = 5.4080 Å, b = 5.4080 Å, c = 5.4080 Å
α = 90.00°, β = 90.00°, γ = 90.00°
Space group Pm-3m (No. 221)
Inequivalent atoms, fractional coordinates:
Zr (0.0000, 0.0000, 0.0000) [1 per cell]
Co (0.5000, 0.5000, 0.5000) [1 per cell]
Sb (0.0000, 0.0000, 0.5000) [3 per cell]

Properties
Formation energy from raw total energies in eV per atom: 1.023

# 2
Entry from the Alexandria database: a relaxed structure of LiOs2Au (GGA-PBEsol).

a = 3.0776 Å, b = 4.3265 Å, c = 8.1857 Å
α = 90.00°, β = 90.00°, γ = 90.00°
Space group Imm2 (No. 44)
Inequivalent atoms, fractional coordinates:
Li (0.0000, 0.0000, 0.0000) [2 per cell]
Os (0.0000, 0.0000, 0.4987) [2 per cell]
Os (0.0000, 0.5000, 0.7413) [2 per cell]
Au (0.0000, 0.5000, 0.2740) [2 per cell]

Properties
Energy of formation from the pure elements in eV/f.u.: 1.92
Relative energy among the computed polymorphs in meV/atom: 293

# 3
Entry from the Alexandria database: a relaxed structure of Tl3FeI (GGA-PBEsol).

a = 6.1911 Å, b = 6.1911 Å, c = 6.1911 Å
α = 90.00°, β = 90.00°, γ = 90.00°
Space group Pm-3m (No. 221)
Inequivalent atoms, fractional coordinates:
Tl (0.0000, 0.0000, 0.5000) [3 per cell]
Fe (0.5000, 0.5000, 0.5000) [1 per cell]
I (0.0000, 0.0000, 0.0000) [1 per cell]

Properties
Formation energy from raw total energies in eV per atom: 1.159

# 4
Entry from the Alexandria database: a relaxed structure of K2SbAu (GGA-PBEsol).

a = 12.2363 Å, b = 12.2363 Å, c = 5.1525 Å
α = 90.00°, β = 90.00°, γ = 90.00°
Space group I-42d (No. 122)
Inequivalent atoms, fractional coordinates:
K (0.0613, 0.2500, 0.1250) [8 per cell]
Sb (0.0000, 0.0000, 0.5000) [4 per cell]
Au (0.0000, 0.0000, 0.0000) [4 per cell]

Properties
Formation energy from raw total energies in eV per atom: -0.200

# 5
Entry from the Alexandria database: a relaxed structure of Nd4Se3O4 (GGA-PBEsol).

a = 8.3740 Å, b = 3.9847 Å, c = 12.8237 Å
α = 90.00°, β = 90.00°, γ = 90.00°
Space group Amm2 (No. 38)
Inequivalent atoms, fractional coordinates:
Nd (0.0000, 0.0000, 0.0000) [2 per cell]
Nd (0.2372, 0.0000, 0.6837) [4 per cell]
Nd (0.5000, 0.0000, 0.0163) [2 per cell]
Se (0.0000, 0.0000, 0.3112) [2 per cell]
Se (0.3503, 0.0000, 0.3566) [4 per cell]
O (0.0000, 0.0000, 0.5877) [2 per cell]
O (0.2439, 0.0000, 0.0880) [4 per cell]
O (0.5000, 0.0000, 0.6152) [2 per cell]

Properties
Formation energy from raw total energies in eV per atom: -2.785

# 6
Entry from the Alexandria database: a relaxed structure of RbAg3Sb (GGA-PBEsol).

a = 5.3264 Å, b = 5.3264 Å, c = 5.3264 Å
α = 90.00°, β = 90.00°, γ = 90.00°
Space group Pm-3m (No. 221)
Inequivalent atoms, fractional coordinates:
Rb (0.0000, 0.0000, 0.0000) [1 per cell]
Ag (0.0000, 0.5000, 0.5000) [3 per cell]
Sb (0.5000, 0.5000, 0.5000) [1 per cell]

Properties
Formation energy from raw total energies in eV per atom: 0.210
Relative energy among the computed polymorphs in meV/atom: 0